# 1
## NaTlPd2Pb (PBE-GGA)

Data for a geometry-optimized NaTlPd2Pb structure.

As for the crystal system: monoclinic. For the energy, the calculation gives -18.76 eV per formula unit. The calculated formation energy comes out at -0.20 eV/atom. For the density of states at the Fermi level, the calculation gives 0.4167 states/eV per atom.

abc: 7.173 4.278 8.116
angles: 90.00 113.66 90.00
Space group P2_1/m (No. 11)
Inequivalent atoms, fractional coordinates:
Na 0.072 0.250 0.225
Tl 0.332 0.750 0.546
Pd 0.106 0.250 0.609
Pd 0.431 0.750 0.226
Pb 0.313 0.250 0.974



# 2
## BeOs2Ru (PBE-GGA)

Data for a geometry-optimized BeOs2Ru structure.

As for the crystal system: monoclinic. For the energy, the calculation gives -34.79 eV per formula unit. The calculated formation energy comes out at 0.17 eV/atom. For the density of states at the Fermi level, the calculation gives 0.9888 states/eV per atom.

abc: 8.739 2.709 4.561
angles: 90.00 98.71 90.00
Space group C2/m (No. 12)
Inequivalent atoms, fractional coordinates:
Be 0.000 0.000 0.000
Os 0.245 0.000 0.759
Ru 0.000 0.500 0.500



# 3
## CsYNb3 (PBE-GGA)

Data for a geometry-optimized CsYNb3 structure.

As for the crystal system: cubic. For the energy, the calculation gives -26.28 eV per formula unit. The relative energy among the computed polymorphs comes out at 0.086 eV/atom. The calculated formation energy comes out at 2.25 eV/atom. For the density of states at the Fermi level, the calculation gives 1.6830 states/eV per atom.

abc: 5.290 5.290 5.290
angles: 90.00 90.00 90.00
Space group Pm-3m (No. 221)
Inequivalent atoms, fractional coordinates:
Cs 0.000 0.000 0.000
Y 0.500 0.500 0.500
Nb 0.000 0.500 0.500



# 4
## InCoPCl2 (PBE-GGA)

Data for a geometry-optimized InCoPCl2 structure.

As for the crystal system: tetragonal. For the energy, the calculation gives -14.10 eV per formula unit. The relative energy among the computed polymorphs comes out at 1.047 eV/atom. Its formation energy without anion corrections is 969 meV per atom. For the density of states at the Fermi level, the calculation gives 3.5483 states/eV per atom.

abc: 5.686 5.686 6.055
angles: 90.00 90.00 90.00
Space group P4/mmm (No. 123)
Inequivalent atoms, fractional coordinates:
In 0.000 0.000 0.000
Co 0.500 0.500 0.500
P 0.000 0.000 0.500
Cl 0.000 0.500 0.000



# 5
## Tl2Ag2I7 (PBE-GGA)

Data for a geometry-optimized Tl2Ag2I7 structure.

As for the crystal system: monoclinic. For the energy, the calculation gives -24.02 eV per formula unit. Its formation energy without anion corrections is -249 meV per atom. For the density of states at the Fermi level, the calculation gives 0.3347 states/eV per atom.

abc: 11.474 12.525 15.299
angles: 90.00 109.86 90.00
Space group C2/c (No. 15)
Inequivalent atoms, fractional coordinates:
Tl 0.235 0.214 0.196
Ag 0.150 0.400 0.463
I 0.000 0.219 0.750
I 0.108 0.398 0.074
I 0.168 0.189 0.369
I 0.184 0.002 0.112



# 6
## LaTeAs2 (PBE-GGA)

Data for a geometry-optimized LaTeAs2 structure.

As for the crystal system: tetragonal. For the energy, the calculation gives -19.77 eV per formula unit. Its formation energy without anion corrections is -600 meV per atom. For the density of states at the Fermi level, the calculation gives 0.6924 states/eV per atom.

abc: 4.472 4.472 23.213
angles: 90.00 90.00 90.00
Space group I-42d (No. 122)
Inequivalent atoms, fractional coordinates:
La 0.000 0.000 0.000
Te 0.000 0.000 0.500
As 0.165 0.250 0.125



# 7
## ScSn4Rh (PBE-GGA)

Data for a geometry-optimized ScSn4Rh structure.

As for the crystal system: orthorhombic. For the energy, the calculation gives -31.56 eV per formula unit. The relative energy among the computed polymorphs comes out at 0.068 eV/atom. The calculated formation energy comes out at -0.31 eV/atom. For the density of states at the Fermi level, the calculation gives 0.4964 states/eV per atom.

abc: 6.432 6.471 6.689
angles: 90.00 90.00 90.00
Space group P222 (No. 16)
Inequivalent atoms, fractional coordinates:
Sc 0.000 0.000 0.000
Sc 0.500 0.500 0.000
Sn 0.180 0.296 0.692
Sn 0.319 0.184 0.267
Rh 0.000 0.500 0.000
Rh 0.500 0.500 0.500



# 8
## ScAlNiMo2 (PBE-GGA)

Data for a geometry-optimized ScAlNiMo2 structure.

As for the crystal system: tetragonal. For the energy, the calculation gives -27.96 eV per formula unit. The calculated formation energy comes out at 1.91 eV/atom. For the density of states at the Fermi level, the calculation gives 1.3464 states/eV per atom.

abc: 4.552 4.552 4.889
angles: 90.00 90.00 90.00
Space group P4/mmm (No. 123)
Inequivalent atoms, fractional coordinates:
Sc 0.000 0.000 0.000
Al 0.000 0.000 0.500
Ni 0.500 0.500 0.500
Mo 0.000 0.500 0.000



# 9
## Sr12CdPd6 (PBE-GGA)

Data for a geometry-optimized Sr12CdPd6 structure.

As for the crystal system: cubic. For the energy, the calculation gives -60.49 eV per formula unit. The calculated formation energy comes out at -0.43 eV/atom. For the density of states at the Fermi level, the calculation gives 0.6586 states/eV per atom.

abc: 11.076 11.076 11.076
angles: 90.00 90.00 90.00
Space group Im-3 (No. 204)
Inequivalent atoms, fractional coordinates:
Sr 0.000 0.181 0.312
Cd 0.000 0.000 0.000
Pd 0.000 0.377 0.500



# 10
## GaGe3Bi (PBE-GGA)

Data for a geometry-optimized GaGe3Bi structure.

As for the crystal system: cubic. For the energy, the calculation gives -18.32 eV per formula unit. The relative energy among the computed polymorphs comes out at 0.000 eV/atom. The calculated formation energy comes out at 0.49 eV/atom. For the density of states at the Fermi level, the calculation gives 0.4868 states/eV per atom.

abc: 4.983 4.983 4.983
angles: 90.00 90.00 90.00
Space group Pm-3m (No. 221)
Inequivalent atoms, fractional coordinates:
Ga 0.000 0.000 0.000
Ge 0.000 0.000 0.500
Bi 0.500 0.500 0.500



# 11
## Cs3IrPd (PBE-GGA)

Data for a geometry-optimized Cs3IrPd structure.

As for the crystal system: cubic. For the energy, the calculation gives -12.32 eV per formula unit. The relative energy among the computed polymorphs comes out at 0.000 eV/atom. The calculated formation energy comes out at 0.86 eV/atom. For the density of states at the Fermi level, the calculation gives 1.4655 states/eV per atom.

abc: 6.032 6.032 6.032
angles: 90.00 90.00 90.00
Space group Pm-3m (No. 221)
Inequivalent atoms, fractional coordinates:
Cs 0.000 0.000 0.500
Ir 0.000 0.000 0.000
Pd 0.500 0.500 0.500



Question: Among the records above, which one has the highest energy?
Answer: Cs3IrPd



Question: Which formula does entry 9 have?
Answer: Sr12CdPd6



Question: Among the records above, which one has the highest energy?
Answer: Cs3IrPd



Question: Among the records above, which one has the highest energy?
Answer: Cs3IrPd